ZnGe (PBE, optimized geometry); ΔE_f = 0.485 eV/atom
1.0
-0.8951 -7.6890 -1.7402
7.8470 -1.0373 0.5472
-0.7578 -1.6593 7.7216
Zn Ge
8 8
Cartesian
1.5976 -6.1304 1.3846
4.2603 -7.1432 4.4903
1.6492 -3.8656 4.9384
5.5897 -3.6342 6.3890
1.1633 -1.9504 1.2261
0.1312 -7.7875 4.9608
5.5040 -7.3991 0.4812
4.8811 -3.6320 2.2437
6.5979 -2.1300 1.2616
2.2827 -3.8273 2.4059
5.3797 -9.0201 5.6702
4.1468 -4.5364 4.5802
0.2559 -2.5885 6.5495
4.1107 -6.1220 2.0922
1.8481 -6.2855 3.9788
0.1547 -7.0326 -0.4242